This record from Alexandria via LeMat-Bulk describes a relaxed K3Ce2CoO6 crystal. The functional is PBE with a Hubbard U.

## Properties
- space-group type = C2/m, No. 12
- final energy (eV per atom) = -6.39

Structure (CIF):
```
data_K3Ce2CoO6
_chemical_formula_sum 'K3 Ce2 Co1 O6'
_cell_length_a 6.051
_cell_length_b 6.051
_cell_length_c 6.522
_cell_angle_alpha 98.54
_cell_angle_beta 98.54
_cell_angle_gamma 120.37
_symmetry_space_group_name_H-M 'P 1'
_symmetry_Int_Tables_number 1
loop_
_symmetry_equiv_pos_as_xyz
'x,y,z'
loop_
_atom_site_label
_atom_site_fract_x
_atom_site_fract_y
_atom_site_fract_z
K1 0.155 0.845 0.500
K2 0.845 0.155 0.500
K3 0.500 0.500 0.500
Ce1 0.333 0.667 0.000
Ce2 0.667 0.333 0.000
Co1 0.000 0.000 0.000
O1 0.937 0.581 0.806
O2 0.714 0.714 0.186
O3 0.063 0.419 0.194
O4 0.581 0.937 0.806
O5 0.286 0.286 0.814
O6 0.419 0.063 0.194
```